Here is an optimized crystal structure of ScSb4Mo from Alexandria. Energies are from PBE.

volume: 641 Å³/cell
ΔE_f (raw): 0.73 eV per atom
E_tot: -117.2 eV/cell
spin magnetization: 13.13 μB per cell

Cell: 8.624 8.624 8.624 Å, 90.00 90.00 90.00°
Space group F-43m (No. 216)
Symmetry-distinct sites (fractional):
1 Sc 0.000 0.000 0.000 [4 per cell]
2 Sb 0.125 0.125 0.375 [16 per cell]
3 Mo 0.250 0.250 0.750 [4 per cell]

=====

Here is an optimized crystal structure of V2GeHIr from Alexandria. Energies are from PBE.

volume: 58 Å³/cell
E above lowest polymorph: 0.0 kJ per mole of atoms
E_tot: -36.1 eV/cell
spin magnetization: 0.00 μB per cell

Cell: 3.782 3.782 4.043 Å, 90.00 90.00 90.00°
Space group P4/mmm (No. 123)
Symmetry-distinct sites (fractional):
1 V 0.000 0.500 0.000 [2 per cell]
2 Ge 0.000 0.000 0.500 [1 per cell]
3 H 0.500 0.500 0.000 [1 per cell]
4 Ir 0.500 0.500 0.500 [1 per cell]

=====

Here is an optimized crystal structure of Ag3W5 from Alexandria. Energies are from PBE.

volume: 536 Å³/cell
E above lowest polymorph: 0.0 kJ per mole of atoms
ΔE_f: 19.4 kcal/mol of atoms
E_tot: -266.4 eV/cell
spin magnetization: 0.00 μB per cell

Cell: 5.019 14.623 7.724 Å, 90.00 108.88 90.00°
Space group C2/m (No. 12)
Symmetry-distinct sites (fractional):
1 Ag 0.000 0.178 0.000 [4 per cell]
2 Ag 0.000 0.250 0.500 [4 per cell]
3 Ag 0.178 0.500 0.357 [4 per cell]
4 W 0.094 0.338 0.189 [8 per cell]
5 W 0.162 0.094 0.324 [8 per cell]
6 W 0.250 0.000 0.001 [4 per cell]

=====

Copy entry 1 word for word.
Here is an optimized crystal structure of ScSb4Mo from Alexandria. Energies are from PBE.

volume: 641 Å³/cell
ΔE_f (raw): 0.73 eV per atom
E_tot: -117.2 eV/cell
spin magnetization: 13.13 μB per cell

Cell: 8.624 8.624 8.624 Å, 90.00 90.00 90.00°
Space group F-43m (No. 216)
Symmetry-distinct sites (fractional):
1 Sc 0.000 0.000 0.000 [4 per cell]
2 Sb 0.125 0.125 0.375 [16 per cell]
3 Mo 0.250 0.250 0.750 [4 per cell]

=====

volume of number 2 (V2GeHIr)?
58 Å³/cell

=====

Which of these has the lowest E_tot?
Ag3W5